Record 1
PBE K2Cd2S3O12, optimized geometry; raw total energy = -5.564 eV per atom; magnetic moment = 0.0 μB per formula unit; ΔE_f (raw) = -1.5688 eV/atom
1.0
10.365 0.000 0.000
0.000 10.420 0.000
0.000 0.000 10.467
K Cd S O
8 8 12 48
direct
0.420 0.557 0.062 K
0.080 0.443 0.562 K
0.786 0.313 0.190 K
0.920 0.943 0.938 K
0.714 0.687 0.690 K
0.286 0.187 0.810 K
0.214 0.813 0.310 K
0.580 0.057 0.438 K
0.445 0.416 0.407 Cd
0.555 0.916 0.093 Cd
0.945 0.084 0.593 Cd
0.055 0.584 0.907 Cd
0.354 0.824 0.663 Cd
0.854 0.676 0.337 Cd
0.146 0.176 0.163 Cd
0.646 0.324 0.837 Cd
0.748 0.618 0.033 S
0.252 0.118 0.467 S
0.248 0.882 0.967 S
0.752 0.382 0.533 S
0.135 0.497 0.239 S
0.865 0.997 0.261 S
0.635 0.003 0.761 S
0.365 0.503 0.739 S
0.965 0.276 0.879 S
0.535 0.724 0.379 S
0.465 0.224 0.121 S
0.035 0.776 0.621 S
0.851 0.674 0.950 O
0.149 0.174 0.550 O
0.351 0.826 0.050 O
0.649 0.326 0.450 O
0.683 0.509 0.968 O
0.317 0.009 0.532 O
0.183 0.991 0.032 O
0.817 0.491 0.468 O
0.649 0.718 0.060 O
0.351 0.218 0.440 O
0.149 0.782 0.940 O
0.851 0.282 0.560 O
0.806 0.570 0.154 O
0.194 0.070 0.346 O
0.306 0.930 0.846 O
0.694 0.430 0.654 O
0.076 0.368 0.257 O
0.924 0.868 0.243 O
0.060 0.593 0.316 O
0.576 0.132 0.743 O
0.270 0.500 0.291 O
0.730 0.000 0.209 O
0.770 0.000 0.709 O
0.230 0.500 0.791 O
0.142 0.537 0.103 O
0.858 0.037 0.397 O
0.642 0.963 0.897 O
0.358 0.463 0.603 O
0.445 0.720 0.489 O
0.555 0.220 0.011 O
0.945 0.780 0.511 O
0.055 0.280 0.989 O
0.668 0.755 0.425 O
0.332 0.255 0.075 O
0.168 0.745 0.575 O
0.832 0.245 0.925 O
0.490 0.826 0.289 O
0.510 0.326 0.211 O
0.990 0.674 0.711 O
0.010 0.174 0.789 O
0.535 0.596 0.315 O
0.465 0.096 0.185 O
0.035 0.904 0.685 O
0.965 0.404 0.815 O
0.440 0.407 0.816 O
0.560 0.907 0.684 O
0.940 0.093 0.184 O
0.424 0.632 0.757 O

Record 2
PBE Tb2DyIr2, optimized geometry; energy relative to the lowest polymorph listed for this composition = 9 kJ/mol of formula units; raw total energy = -7.046 eV per atom; magnetic moment = 0.0 μB per formula unit; calculated formation energy = -70 kJ/mol of atoms
1.0
4.368 0.000 0.000
0.000 5.510 -0.808
0.000 -2.990 10.890
Tb Dy Ir
4 2 4
direct
0.250 0.771 0.880 Tb
0.750 0.229 0.120 Tb
0.250 0.280 0.531 Tb
0.750 0.720 0.469 Tb
0.250 0.809 0.206 Dy
0.750 0.191 0.794 Dy
0.250 0.882 0.643 Ir
0.750 0.118 0.357 Ir
0.250 0.317 0.976 Ir
0.750 0.683 0.024 Ir

Record 3
PBE NaTlBi2, optimized geometry; energy relative to the lowest polymorph listed for this composition = 0 kJ/mol of formula units; raw total energy = -3.024 eV per atom; magnetic moment = 0.0 μB per formula unit; calculated formation energy = -16 kJ/mol of atoms
1.0
-3.513 3.875 -0.506
-3.216 -3.144 -1.753
-1.595 -0.862 4.474
Na Tl Bi
1 1 2
direct
0.500 0.000 0.000 Na
0.500 0.500 0.500 Tl
0.000 0.000 0.500 Bi
0.000 0.500 0.000 Bi

Record 4
PBE BaSbTe2Ir, optimized geometry; energy relative to the lowest polymorph listed for this composition = 0 kJ/mol of formula units; raw total energy = -4.629 eV per atom; magnetic moment = 0.0 μB per formula unit; ΔE_f (raw) = -0.3910 eV/atom
1.0
-0.415 -4.082 3.958
-3.341 -3.036 -3.481
3.987 -2.230 -1.882
Sb Ir Te Ba
1 1 2 1
direct
0.000 0.000 0.500 Sb
0.000 0.000 0.000 Ir
0.000 0.500 0.000 Te
0.500 0.000 0.000 Te
0.500 0.500 0.500 Ba

Record 5
PBE PSe3Cl, optimized geometry; energy relative to the lowest polymorph listed for this composition = 0 kJ/mol of formula units; raw total energy = -3.714 eV per atom; magnetic moment = 0.0 μB per formula unit; ΔE_f (raw) = -0.1721 eV/atom
1.0
-3.403 5.908 -0.936
-1.686 0.184 7.284
6.449 3.679 -0.232
P Se Cl
2 6 2
direct
0.717 0.993 0.330 P
0.217 0.359 0.768 P
0.542 0.371 0.716 Se
0.688 0.890 0.047 Se
0.085 0.073 0.706 Se
0.042 0.981 0.382 Se
0.188 0.463 0.051 Se
0.585 0.280 0.393 Se
0.589 0.854 0.511 Cl
0.089 0.498 0.587 Cl

Record 6
PBE KErHgCl6, optimized geometry; raw total energy = -3.554 eV per atom; magnetic moment = 0.0 μB per formula unit; ΔE_f (raw) = -1.6604 eV/atom
1.0
-6.723 1.787 -0.275
2.258 -5.597 -3.469
-2.549 -7.887 11.068
K Er Hg Cl
2 2 2 12
direct
0.000 0.000 0.000 K
0.000 0.000 0.500 K
0.667 0.333 0.250 Er
0.333 0.667 0.750 Er
0.333 0.667 0.250 Hg
0.667 0.333 0.750 Hg
0.634 0.624 0.139 Cl
0.990 0.366 0.139 Cl
0.366 0.990 0.639 Cl
0.010 0.634 0.861 Cl
0.376 0.366 0.361 Cl
0.990 0.624 0.361 Cl
0.624 0.990 0.861 Cl
0.634 0.010 0.361 Cl
0.010 0.376 0.639 Cl
0.376 0.010 0.139 Cl
0.624 0.634 0.639 Cl
0.366 0.376 0.861 Cl